# 1
The following is a DFT calculation (PBE-GGA) of PC after structural relaxation.

Lattice parameters (Å, degrees): 3.830 3.830 5.757 108.83 108.83 45.38
Fractional positions:
P (0.240, 0.240, 0.287)
P (0.760, 0.760, 0.713)
C (0.112, 0.112, 0.534)
C (0.888, 0.888, 0.466)

The density of states at the Fermi level is 0.30 states/eV per cell. The value obtained for the energy above the most stable polymorph in this dataset is 229.0 meV per atom. The space-group type is C2/m, No. 12. The energy of formation from the pure elements comes out at 0.5415 eV/atom. The total energy is -6.775 eV/atom. The crystal system is monoclinic. The value obtained for the total magnetization is 0.000 μB/atom.

***

# 2
The following is a DFT calculation (PBE-GGA) of Zr2WAu2 after structural relaxation.

Lattice parameters (Å, degrees): 8.342 8.342 8.342 154.69 154.69 36.09
Fractional positions:
Zr (0.095, 0.095, 0.000)
Zr (0.905, 0.905, 0.000)
W (0.500, 0.500, 0.000)
Au (0.250, 0.750, 0.500)
Au (0.750, 0.250, 0.500)

The density of states at the Fermi level is 2.33 states/eV per cell. The value obtained for the energy above the most stable polymorph in this dataset is 16.9 meV per atom. The space-group type is I4/mmm, No. 139. The energy of formation from the pure elements comes out at 0.1944 eV/atom. The total energy is -7.126 eV/atom. The crystal system is tetragonal. The value obtained for the total magnetization is 0.000 μB/atom.

***

# 3
The following is a DFT calculation (PBE-GGA) of Pm2ThSe4 after structural relaxation.

Lattice parameters (Å, degrees): 7.226 7.226 13.926 90.00 90.00 147.06
Fractional positions:
Pm (0.134, 0.866, 0.568)
Pm (0.134, 0.866, 0.932)
Pm (0.866, 0.134, 0.068)
Pm (0.866, 0.134, 0.432)
Th (0.373, 0.627, 0.750)
Th (0.627, 0.373, 0.250)
Se (0.026, 0.974, 0.750)
Se (0.223, 0.777, 0.126)
Se (0.223, 0.777, 0.374)
Se (0.500, 0.500, 0.000)
Se (0.500, 0.500, 0.500)
Se (0.777, 0.223, 0.626)
Se (0.777, 0.223, 0.874)
Se (0.974, 0.026, 0.250)

The density of states at the Fermi level is 7.65 states/eV per cell. The value obtained for the energy above the most stable polymorph in this dataset is 53.2 meV per atom. The space-group type is Cmcm, No. 63. The total energy is -6.156 eV/atom. Its formation energy (no corrections) is -1.7474 eV/atom. The crystal system is orthorhombic. The value obtained for the total magnetization is 0.000 μB/atom.

***

# 4
The following is a DFT calculation (PBE-GGA) of SiTe2Au after structural relaxation.

Lattice parameters (Å, degrees): 3.214 3.214 9.900 90.00 90.00 104.17
Fractional positions:
Si (0.000, 0.000, 0.000)
Te (0.000, 0.000, 0.396)
Te (0.500, 0.500, 0.758)
Au (0.500, 0.500, 0.161)

The density of states at the Fermi level is 1.85 states/eV per cell. The space-group type is Cmm2, No. 35. The total energy is -3.441 eV/atom. Its formation energy (no corrections) is 0.3045 eV/atom. The crystal system is orthorhombic. The value obtained for the total magnetization is 0.000 μB/atom.